Computed, not measured: a geometry-optimized NdSmSiAu structure at the GGA-PBE level of DFT.

Cell and atoms, written as POSCAR:
```
NdSmSiAu
1.0
-0.976 1.714 4.798
1.316 -2.888 4.103
3.909 1.484 3.070
Nd Si Au Sm
1 1 1 1
Cartesian
2.124 0.155 5.986
3.186 0.233 8.978
1.062 0.078 2.993
0.000 0.000 0.000
```

Values from the calculation:
Its size of the total moment is 0.71 μB per cell. Its crystal system is cubic. The total DFT energy (no corrections) comes out at -5.17 eV per atom.


Computed, not measured: a geometry-optimized Sr2NdSi3Au12 structure at the GGA-PBE level of DFT.

Cell and atoms, written as POSCAR:
```
Sr2NdSi3Au12
1.0
8.283 -0.326 -0.231
3.807 7.364 -0.231
3.807 2.216 7.026
Sr Nd Si Au
2 1 3 12
Cartesian
9.484 5.521 3.916
6.413 3.733 2.648
0.000 0.000 0.000
4.142 -0.163 -0.116
1.904 3.682 -0.116
1.904 1.108 3.513
7.071 4.116 5.925
11.909 6.932 2.486
9.914 8.065 5.720
9.537 2.715 1.926
11.909 4.638 5.720
7.071 6.952 1.926
8.827 5.138 0.639
3.989 2.322 4.077
5.984 1.189 0.844
6.361 6.539 4.638
3.989 4.616 0.844
8.827 2.302 4.638
```

Values from the calculation:
Its size of the total moment is 0.00 μB per cell. Its crystal system is trigonal. The total DFT energy (no corrections) comes out at -3.74 eV per atom.


Computed, not measured: a geometry-optimized SrNdSiAu structure at the GGA-PBE level of DFT.

Cell and atoms, written as POSCAR:
```
SrNdSiAu
1.0
5.302 0.000 0.000
2.651 4.591 0.000
2.651 1.530 4.329
Nd Si Au Sr
1 1 1 1
Cartesian
0.000 0.000 0.000
7.953 4.591 3.247
2.651 1.530 1.082
5.302 3.061 2.164
```

Values from the calculation:
Its size of the total moment is 0.00 μB per cell. Its crystal system is cubic. The total DFT energy (no corrections) comes out at -4.35 eV per atom.


Computed, not measured: a geometry-optimized NdTmSiAu structure at the GGA-PBE level of DFT.

Cell and atoms, written as POSCAR:
```
NdTmSiAu
1.0
5.105 0.000 0.000
2.552 4.421 0.000
2.552 1.474 4.168
Nd Si Tm Au
1 1 1 1
Cartesian
5.105 2.947 2.084
7.657 4.421 3.126
0.000 0.000 0.000
2.552 1.474 1.042
```

Values from the calculation:
Its size of the total moment is 0.43 μB per cell. Its crystal system is cubic. The total DFT energy (no corrections) comes out at -5.10 eV per atom.


Computed, not measured: a geometry-optimized NdYSiAu structure at the GGA-PBE level of DFT.

Cell and atoms, written as POSCAR:
```
NdYSiAu
1.0
5.140 0.000 0.000
2.570 4.451 0.000
2.570 1.484 4.197
Y Nd Si Au
1 1 1 1
Cartesian
5.140 2.968 2.098
0.000 0.000 0.000
7.710 4.451 3.148
2.570 1.484 1.049
```

Values from the calculation:
Its size of the total moment is 0.58 μB per cell. Its crystal system is cubic. The total DFT energy (no corrections) comes out at -5.62 eV per atom.


Computed, not measured: a geometry-optimized NdZn2SiAu structure at the GGA-PBE level of DFT.

Cell and atoms, written as POSCAR:
```
NdZn2SiAu
1.0
-3.879 -1.164 -1.093
1.298 -0.637 -3.926
2.489 -4.252 3.742
Nd Zn Si Au
1 2 1 1
Cartesian
1.051 -4.517 1.080
-1.476 -2.573 -0.071
0.125 -0.537 0.128
-0.496 -4.315 -1.693
1.121 -2.349 -1.477
```

Values from the calculation:
Its size of the total moment is 0.00 μB per cell. Its crystal system is orthorhombic. The total DFT energy (no corrections) comes out at -3.73 eV per atom.


Computed, not measured: a geometry-optimized NdZn2SiAu4 structure at the GGA-PBE level of DFT.

Cell and atoms, written as POSCAR:
```
NdZn2SiAu4
1.0
4.444 0.000 0.000
2.222 3.848 0.000
2.222 1.283 9.034
Nd Zn Si Au
1 2 1 4
Cartesian
0.000 0.000 0.000
6.665 3.848 6.802
2.222 1.283 2.231
4.444 2.566 4.517
4.444 2.566 7.212
6.665 3.848 3.619
2.222 1.283 5.415
4.444 2.566 1.822
```

Values from the calculation:
Its size of the total moment is 0.00 μB per cell. Its crystal system is trigonal. The total DFT energy (no corrections) comes out at -3.55 eV per atom.


Computed, not measured: a geometry-optimized NdSm3Au4 structure at the GGA-PBE level of DFT.

Cell and atoms, written as POSCAR:
```
NdSm3Au4
1.0
-3.320 3.392 -2.164
-3.442 -1.631 -3.565
-7.897 -0.998 4.264
Au Nd Sm
4 1 3
Cartesian
-8.900 1.160 -3.390
-9.420 -0.205 1.555
-5.759 -0.397 1.925
-5.239 0.969 -3.020
0.000 0.000 0.000
-3.669 0.190 -0.362
-10.990 0.574 -1.104
-7.329 0.382 -0.733
```

Values from the calculation:
Its size of the total moment is 0.00 μB per cell. Its formation energy is -0.7854 eV per atom. Its crystal system is trigonal.


Computed, not measured: a geometry-optimized Nd2SmAu structure at the GGA-PBE level of DFT.

Cell and atoms, written as POSCAR:
```
Nd2SmAu
1.0
3.713 0.000 0.000
0.000 5.561 0.000
0.000 0.000 5.561
Nd Au Sm
2 1 1
Cartesian
0.000 0.000 2.780
0.000 2.780 0.000
1.857 0.000 0.000
1.857 2.780 2.780
```

Values from the calculation:
Its size of the total moment is 0.00 μB per cell. For the relative energy among the computed polymorphs, the calculation gives 162 meV per atom. Its formation energy is -0.2305 eV per atom. Its crystal system is tetragonal.


Computed, not measured: a geometry-optimized NdSmAu4 structure at the GGA-PBE level of DFT.

Cell and atoms, written as POSCAR:
```
NdSmAu4
1.0
-1.004 -2.399 4.785
0.277 -4.877 -2.379
4.030 -1.368 3.257
Nd Sm Au
1 1 4
Cartesian
2.154 -3.123 0.439
1.513 -1.884 4.021
3.145 -4.377 3.117
0.159 -4.268 2.546
0.506 -0.629 1.340
2.798 -8.016 4.324
```

Values from the calculation:
Its size of the total moment is 0.00 μB per cell. Its formation energy is -0.7885 eV per atom. Its crystal system is monoclinic.


Question: Which value of size of the total moment does entry 10 give?
Answer: 0.00 μB per cell


Question: The highest size of the total moment belongs to which entry?
Answer: NdSmSiAu


Question: Which formula does entry 7 have?
Answer: NdZn2SiAu4


Please write out number 10 again, unchanged.
Computed, not measured: a geometry-optimized NdSmAu4 structure at the GGA-PBE level of DFT.

Cell and atoms, written as POSCAR:
```
NdSmAu4
1.0
-1.004 -2.399 4.785
0.277 -4.877 -2.379
4.030 -1.368 3.257
Nd Sm Au
1 1 4
Cartesian
2.154 -3.123 0.439
1.513 -1.884 4.021
3.145 -4.377 3.117
0.159 -4.268 2.546
0.506 -0.629 1.340
2.798 -8.016 4.324
```

Values from the calculation:
Its size of the total moment is 0.00 μB per cell. Its formation energy is -0.7885 eV per atom. Its crystal system is monoclinic.